*w*
Compound: Li8Pm4O11
Source: the Open Quantum Materials Database
Functional: PBE
Structure: optimized geometry

The value obtained for the volume is 12.27 Å³/atom.

a b c (Å): 5.1645 5.8633 9.6633
angles (deg): 85.21 79.40 79.32
Last column: nearest neighbours and their distance in Å.
Space group P1 (No. 1)
Inequivalent atoms, fractional coordinates:
1 Li 0.0000 0.0000 0.0000 (multiplicity 1)  4 O 1.81-1.98
2 Li 0.0176 0.8183 0.5575 (multiplicity 1)  3 O 1.94-2.11
3 Li 0.3769 0.3619 0.0222 (multiplicity 1)  4 O 1.98-2.09
4 Li 0.3993 0.5662 0.7063 (multiplicity 1)  3 O 1.87-1.91
5 Li 0.5485 0.2010 0.5225 (multiplicity 1)  3 O 1.82-2.00
6 Li 0.6031 0.7164 0.4767 (multiplicity 1)  3 O 1.97-2.00
7 Li 0.7195 0.1246 0.2124 (multiplicity 1)  4 O 1.96-2.09
8 Li 0.8732 0.5940 0.1191 (multiplicity 1)  4 O 2.09-2.17
9 Pm 0.1381 0.3404 0.3539 (multiplicity 1)  6 O 2.25-2.43
10 Pm 0.3291 0.8227 0.2151 (multiplicity 1)  6 O 2.23-2.42
11 Pm 0.5500 0.9096 0.8497 (multiplicity 1)  5 O 2.22-2.42
12 Pm 0.9608 0.3283 0.7146 (multiplicity 1)  4 O 2.17-2.42
13 O 0.0869 0.1861 0.1416 (multiplicity 1)  3 Li 1.98-2.09
14 O 0.1005 0.9500 0.8001 (multiplicity 1)  1 Li 1.94
15 O 0.2350 0.6989 0.0006 (multiplicity 1)  3 Li 1.95-2.17
16 O 0.2820 0.4972 0.5410 (multiplicity 1)  3 Li 1.91-2.11
17 O 0.4566 0.0157 0.3861 (multiplicity 1)  3 Li 1.95-2.09
18 O 0.5007 0.2925 0.8136 (multiplicity 1)  2 Li 1.88-2.05
19 O 0.5236 0.4428 0.1925 (multiplicity 1)  3 Li 1.96-2.14
20 O 0.6731 0.9217 0.0620 (multiplicity 1)  2 Li 1.81-2.03
21 O 0.7165 0.6880 0.6621 (multiplicity 1)  3 Li 1.87-1.97
22 O 0.9019 0.1571 0.5354 (multiplicity 1)  2 Li 1.82-1.97
23 O 0.9098 0.6986 0.3152 (multiplicity 1)  2 Li 2.00-2.09



*x*
Compound: Li8Pm4O11
Source: the Open Quantum Materials Database
Functional: PBE
Structure: optimized geometry

The value obtained for the volume is 11.84 Å³/atom.

a b c (Å): 4.9951 6.0110 9.5830
angles (deg): 78.52 75.08 85.01
Last column: nearest neighbours and their distance in Å.
Space group P1 (No. 1)
Inequivalent atoms, fractional coordinates:
1 Li 0.0000 0.0000 0.0000 (multiplicity 1)  4 O 1.92-2.12
2 Li 0.0088 0.2416 0.7091 (multiplicity 1)  3 O 1.87-2.01
3 Li 0.1984 0.6251 0.5788 (multiplicity 1)  3 O 1.95-2.07
4 Li 0.3100 0.2834 0.4623 (multiplicity 1)  4 O 1.94-2.16
5 Li 0.4991 0.8966 0.0424 (multiplicity 1)  3 O 1.95-2.11
6 Li 0.5093 0.6496 0.3268 (multiplicity 1)  4 O 1.87-2.04
7 Li 0.7518 0.4662 0.5218 (multiplicity 1)  5 O 2.14-2.31
8 Li 0.9124 0.7143 0.8826 (multiplicity 1)  3 O 1.89-2.05
9 Pm 0.0662 0.5071 0.1688 (multiplicity 1)  6 O 2.29-2.49
10 Pm 0.4945 0.3733 0.8778 (multiplicity 1)  5 O 2.25-2.43
11 Pm 0.5630 0.9273 0.6936 (multiplicity 1)  6 O 2.27-2.46
12 Pm 0.9224 0.9669 0.3399 (multiplicity 1)  6 O 2.28-2.49
13 O 0.1293 0.5988 0.3789 (multiplicity 1)  2 Li 1.87-2.07
14 O 0.2021 0.1561 0.0970 (multiplicity 1)  2 Li 1.94-2.11
15 O 0.2612 0.7318 0.9207 (multiplicity 1)  1 Li 1.89
16 O 0.3850 0.3022 0.6719 (multiplicity 1)  1 Li 1.87
17 O 0.5411 0.7908 0.4923 (multiplicity 1)  3 Li 1.96-2.14
18 O 0.6427 0.5243 0.0788 (multiplicity 1)  2 Li 2.18-2.28, 1 O 2.32
19 O 0.6856 0.3295 0.3420 (multiplicity 1)  3 Li 1.94-2.16
20 O 0.7582 0.8253 0.1682 (multiplicity 1)  3 Li 1.89-1.95
21 O 0.7654 0.0446 0.8648 (multiplicity 1)  4 Li 1.93-2.05
22 O 0.8502 0.5777 0.7290 (multiplicity 1)  3 Li 1.92-2.13
23 O 0.9714 0.1109 0.5374 (multiplicity 1)  2 Li 1.96-2.01



The structure with the least stability is *w*.



*w*
Compound: LiPmSO
Source: the Open Quantum Materials Database
Functional: PBE
Structure: optimized geometry

The value obtained for the volume is 18.63 Å³/atom.

a b c (Å): 5.7023 9.2964 5.6217
angles (deg): 90.00 90.00 90.00
Last column: nearest neighbours and their distance in Å.
Space group Pca2_1 (No. 29)
Inequivalent atoms, fractional coordinates:
1 Li 0.1369 0.0391 0.0000 (multiplicity 4)  3 O 1.93-1.99
2 Pm 0.0049 0.3100 0.6235 (multiplicity 4)  1 O 2.07
3 S 0.0083 0.6457 0.6236 (multiplicity 4)  5 Pm 2.84-3.12, 1 Li 3.12
4 O 0.0704 0.0921 0.6642 (multiplicity 4)  3 Li 1.93-1.99, 1 Pm 2.07



*x*
Compound: LiPmSO
Source: the Open Quantum Materials Database
Functional: PBE
Structure: optimized geometry

The value obtained for the volume is 16.55 Å³/atom.

a b c (Å): 5.5408 5.5454 8.6171
angles (deg): 90.00 90.40 90.00
Last column: nearest neighbours and their distance in Å.
Space group C2/m (No. 12)
Inequivalent atoms, fractional coordinates:
1 Li 0.0000 0.2504 0.0000 (multiplicity 4)  4 S 2.43
2 Pm 0.2486 0.0000 0.3603 (multiplicity 4)  4 O 2.30
3 S 0.2483 0.0000 0.8335 (multiplicity 4)  4 Li 2.43
4 O 0.0000 0.2496 0.5000 (multiplicity 4)  4 Pm 2.30



The structure with the least stability is *w*.



*w*
Compound: LiPmSO
Source: the Open Quantum Materials Database
Functional: PBE
Structure: optimized geometry

The value obtained for the volume is 16.57 Å³/atom.

a b c (Å): 3.9215 3.9215 8.6219
angles (deg): 90.00 90.00 90.00
Last column: nearest neighbours and their distance in Å.
Space group P4/nmm (No. 129, origin choice 2)
Inequivalent atoms, fractional coordinates:
1 Li 0.2500 0.7500 0.0000 (multiplicity 2)  4 S 2.43
2 Pm 0.2500 0.2500 0.3610 (multiplicity 2)  4 O 2.30
3 S 0.2500 0.2500 0.8332 (multiplicity 2)  4 Li 2.43
4 O 0.2500 0.7500 0.5000 (multiplicity 2)  4 Pm 2.30



*x*
Compound: LiPmSO
Source: the Open Quantum Materials Database
Functional: PBE
Structure: optimized geometry

The value obtained for the volume is 15.33 Å³/atom.

a b c (Å): 5.7947 6.7349 6.3246
angles (deg): 90.00 96.27 90.00
Last column: nearest neighbours and their distance in Å.
Space group P2_1/c (No. 14)
Inequivalent atoms, fractional coordinates:
1 Li 0.1039 0.2070 0.0246 (multiplicity 4)  1 O 1.93
2 Pm 0.3760 0.5626 0.2339 (multiplicity 4)  3 O 2.28-2.49
3 S 0.1199 0.5779 0.7752 (multiplicity 4)  3 Li 2.34-2.48
4 O 0.4283 0.2233 0.9830 (multiplicity 4)  1 Li 1.93



The structure with the least stability is *x*.



*w*
Compound: LiPmSeO
Source: the Open Quantum Materials Database
Functional: PBE
Structure: optimized geometry

The value obtained for the volume is 17.89 Å³/atom.

a b c (Å): 5.6372 5.6499 8.9854
angles (deg): 90.00 90.46 90.00
Last column: nearest neighbours and their distance in Å.
Space group P2_1 (No. 4)
Inequivalent atoms, fractional coordinates:
1 Li 0.2485 0.9999 0.9999 (multiplicity 2)  4 Se 2.53-2.55, 4 Li 2.82-2.83
2 Li 0.2514 0.5000 0.0002 (multiplicity 2)  4 Se 2.53-2.55, 4 Li 2.82-2.83
3 Pm 0.0018 0.7554 0.6306 (multiplicity 2)  4 O 2.31-2.32
4 Pm 0.4981 0.7557 0.3695 (multiplicity 2)  4 O 2.31-2.32
5 Se 0.9998 0.2503 0.8252 (multiplicity 2)  4 Li 2.53-2.55
6 Se 0.5003 0.2508 0.1749 (multiplicity 2)  4 Li 2.53-2.55
7 O 0.2499 0.0054 0.5002 (multiplicity 2)  4 Pm 2.31-2.32
8 O 0.2500 0.5056 0.5000 (multiplicity 2)  4 Pm 2.31-2.32



*x*
Compound: LiPmSeO
Source: the Open Quantum Materials Database
Functional: PBE
Structure: optimized geometry

The value obtained for the volume is 16.30 Å³/atom.

a b c (Å): 4.5105 4.1416 6.9819
angles (deg): 90.00 90.00 90.00
Last column: nearest neighbours and their distance in Å.
Space group Pmc2_1 (No. 26)
Inequivalent atoms, fractional coordinates:
1 Li 0.0000 0.2451 0.0000 (multiplicity 2)  2 O 2.26, 3 Se 2.36
2 Pm 0.5000 0.2534 0.3371 (multiplicity 2)  3 O 2.34-2.37
3 Se 0.0000 0.2546 0.6624 (multiplicity 2)  3 Li 2.36
4 O 0.5000 0.2457 0.0015 (multiplicity 2)  2 Li 2.26, 3 Pm 2.34-2.37



The structure with the least stability is *x*.